Entry 1:
Below is K2TePbSe after structural relaxation, with properties calculated at the PBE level.

The formation energy (no corrections) is -0.841 eV per atom.

The space group is P2_1/m (No. 11) and the conventional cell measures 9.505, 4.601 and 9.894 Å, with angles of 90.00, 102.70 and 90.00 degrees. Symmetry generates all atoms from K at (0.140, 0.250, 0.401), K at (0.297, 0.250, 0.896), Te at (0.349, 0.750, 0.185), Pb at (0.488, 0.750, 0.632) and Se at (0.209, 0.750, 0.656).



Entry 2:
Below is Pm3Tl3Cd2 after structural relaxation, with properties calculated at the PBE level.

Its energy above the most stable polymorph in this dataset is 0 meV/atom. The calculation puts the energy relative to the elements at -6.98 kcal/mol of atoms.

The space group is Cmcm (No. 63) and the conventional cell measures 4.805, 11.853 and 15.845 Å, with angles of 90.00, 90.00 and 90.00 degrees. Symmetry generates all atoms from Pm at (0.000, 0.072, 0.114), Pm at (0.000, 0.341, 0.250), Tl at (0.000, 0.377, 0.750), Tl at (0.000, 0.391, 0.048) and Cd at (0.000, 0.223, 0.600).



Entry 3:
Below is Cd3TcS after structural relaxation, with properties calculated at the PBE level.

Its energy above the most stable polymorph in this dataset is 55 meV/atom. The formation energy (no corrections) is 1.081 eV per atom.

The space group is Pm-3m (No. 221) and the conventional cell measures 5.042, 5.042 and 5.042 Å, with angles of 90.00, 90.00 and 90.00 degrees. Symmetry generates all atoms from Cd at (0.000, 0.000, 0.500), Tc at (0.500, 0.500, 0.500) and S at (0.000, 0.000, 0.000).



Entry 4:
Below is PmPr12Mg3 after structural relaxation, with properties calculated at the PBE level.

The calculation puts the energy relative to the elements at -0.06 kcal/mol of atoms.

The space group is P4/mmm (No. 123) and the conventional cell measures 5.107, 5.107 and 20.573 Å, with angles of 90.00, 90.00 and 90.00 degrees. Symmetry generates all atoms from Pm at (0.000, 0.000, 0.000), Pr at (0.000, 0.500, 0.129), Pr at (0.000, 0.500, 0.377), Pr at (0.500, 0.500, 0.000), Pr at (0.500, 0.500, 0.254), Pr at (0.500, 0.500, 0.500), Mg at (0.000, 0.000, 0.255) and Mg at (0.000, 0.000, 0.500).



So what do the calculations give for calculated volume? Going down the list: 42.2 28.2 25.6 33.5 A^3/atom.